# 1
# ScMo2 (PBE, relaxed)
# energy of formation from the pure elements = 4.4 eV/f.u.
# SG = Fm-3m (225)
# density of states at the Fermi level = 3.198 states/eV/cell
data_ScMo2
_chemical_formula_sum 'Sc1 Mo2'
_cell_length_a 4.3650
_cell_length_b 4.3650
_cell_length_c 4.3650
_cell_angle_alpha 60.00
_cell_angle_beta 60.00
_cell_angle_gamma 60.00
_space_group_name_H-M_alt 'P 1'
_space_group_IT_number 1
loop_
_space_group_symop_operation_xyz
'x,y,z'
loop_
_atom_site_label
_atom_site_fract_x
_atom_site_fract_y
_atom_site_fract_z
_atom_site_occupancy
Mo1 0.7500 0.7500 0.7500 1
Mo2 0.2500 0.2500 0.2500 1
Sc1 0.0000 0.0000 0.0000 1

---

# 2
# ScMo2 (PBE, relaxed)
# energy of formation from the pure elements = 0.9 eV/f.u.
# SG = Cmcm (63)
# density of states at the Fermi level = 4.641 states/eV/cell
data_ScMo2
_chemical_formula_sum 'Sc2 Mo4'
_cell_length_a 8.4381
_cell_length_b 8.4381
_cell_length_c 4.6480
_cell_angle_alpha 90.00
_cell_angle_beta 90.00
_cell_angle_gamma 161.64
_space_group_name_H-M_alt 'P 1'
_space_group_IT_number 1
loop_
_space_group_symop_operation_xyz
'x,y,z'
loop_
_atom_site_label
_atom_site_fract_x
_atom_site_fract_y
_atom_site_fract_z
_atom_site_occupancy
Sc1 0.3794 0.6206 0.7500 1
Sc2 0.6206 0.3794 0.2500 1
Mo1 0.7121 0.2879 0.7500 1
Mo2 0.9575 0.0425 0.2500 1
Mo3 0.0425 0.9575 0.7500 1
Mo4 0.2879 0.7121 0.2500 1

---

# 3
# Sc3Mo (PBE, relaxed)
# energy of formation from the pure elements = 0.7 eV/f.u.
# SG = P2/m (10)
# density of states at the Fermi level = 6.052 states/eV/cell
data_Sc3Mo
_chemical_formula_sum 'Sc3 Mo1'
_cell_length_a 3.0743
_cell_length_b 4.6148
_cell_length_c 6.0826
_cell_angle_alpha 90.00
_cell_angle_beta 75.61
_cell_angle_gamma 90.00
_space_group_name_H-M_alt 'P 1'
_space_group_IT_number 1
loop_
_space_group_symop_operation_xyz
'x,y,z'
loop_
_atom_site_label
_atom_site_fract_x
_atom_site_fract_y
_atom_site_fract_z
_atom_site_occupancy
Mo1 0.0000 0.0000 0.0000 1
Sc1 0.8282 0.5000 0.7747 1
Sc2 0.5000 0.0000 0.5000 1
Sc3 0.1718 0.5000 0.2253 1

---

# 4
# Sc2MoSe (PBE, relaxed)
# uncorrected formation energy = -223 meV per atom
# SG = P4mm (99)
# density of states at the Fermi level = 3.666 states/eV/cell
data_Sc2MoSe
_chemical_formula_sum 'Sc2 Mo1 Se1'
_cell_length_a 3.6901
_cell_length_b 3.6893
_cell_length_c 5.8414
_cell_angle_alpha 90.00
_cell_angle_beta 90.00
_cell_angle_gamma 90.00
_space_group_name_H-M_alt 'P 1'
_space_group_IT_number 1
loop_
_space_group_symop_operation_xyz
'x,y,z'
loop_
_atom_site_label
_atom_site_fract_x
_atom_site_fract_y
_atom_site_fract_z
_atom_site_occupancy
Mo1 0.5000 0.5000 0.8095 1
Sc1 0.0000 0.0000 0.9595 1
Sc2 0.5000 0.5000 0.2811 1
Se1 0.0000 0.0000 0.4499 1

---

# 5
# ScMo4Se (PBE, relaxed)
# uncorrected formation energy = 318 meV per atom
# SG = F-43m (216)
# density of states at the Fermi level = 6.871 states/eV/cell
data_ScMo4Se
_chemical_formula_sum 'Sc1 Mo4 Se1'
_cell_length_a 5.3355
_cell_length_b 5.3355
_cell_length_c 5.3355
_cell_angle_alpha 60.00
_cell_angle_beta 60.00
_cell_angle_gamma 60.00
_space_group_name_H-M_alt 'P 1'
_space_group_IT_number 1
loop_
_space_group_symop_operation_xyz
'x,y,z'
loop_
_atom_site_label
_atom_site_fract_x
_atom_site_fract_y
_atom_site_fract_z
_atom_site_occupancy
Sc1 0.7500 0.7500 0.7500 1
Mo1 0.3744 0.8769 0.3744 1
Mo2 0.8769 0.3744 0.3744 1
Mo3 0.3744 0.3744 0.8769 1
Mo4 0.3744 0.3744 0.3744 1
Se1 0.0000 0.0000 0.0000 1

---

# 6
# Sc3MoSe (PBE, relaxed)
# uncorrected formation energy = 284 meV per atom
# SG = Pm-3m (221)
# density of states at the Fermi level = 9.357 states/eV/cell
data_Sc3MoSe
_chemical_formula_sum 'Sc3 Mo1 Se1'
_cell_length_a 5.0249
_cell_length_b 5.0249
_cell_length_c 5.0249
_cell_angle_alpha 90.00
_cell_angle_beta 90.00
_cell_angle_gamma 90.00
_space_group_name_H-M_alt 'P 1'
_space_group_IT_number 1
loop_
_space_group_symop_operation_xyz
'x,y,z'
loop_
_atom_site_label
_atom_site_fract_x
_atom_site_fract_y
_atom_site_fract_z
_atom_site_occupancy
Sc1 0.0000 0.5000 0.0000 1
Sc2 0.0000 0.0000 0.5000 1
Sc3 0.5000 0.0000 0.0000 1
Mo1 0.0000 0.0000 0.0000 1
Se1 0.5000 0.5000 0.5000 1

---

# 7
# Sc2MoSe (PBE, relaxed)
# uncorrected formation energy = -471 meV per atom
# SG = Amm2 (38)
# density of states at the Fermi level = 3.809 states/eV/cell
data_Sc2MoSe
_chemical_formula_sum 'Sc2 Mo1 Se1'
_cell_length_a 4.3281
_cell_length_b 3.5401
_cell_length_c 5.3081
_cell_angle_alpha 70.53
_cell_angle_beta 90.00
_cell_angle_gamma 90.00
_space_group_name_H-M_alt 'P 1'
_space_group_IT_number 1
loop_
_space_group_symop_operation_xyz
'x,y,z'
loop_
_atom_site_label
_atom_site_fract_x
_atom_site_fract_y
_atom_site_fract_z
_atom_site_occupancy
Mo1 0.5000 0.5420 0.7902 1
Sc1 0.0000 0.9832 0.9083 1
Sc2 0.5000 0.2737 0.3289 1
Se1 0.0000 0.7012 0.4725 1

---

# 8
# Sc2MoSe (PBE, relaxed)
# uncorrected formation energy = -218 meV per atom
# SG = P4mm (99)
# density of states at the Fermi level = 5.515 states/eV/cell
data_Sc2MoSe
_chemical_formula_sum 'Sc2 Mo1 Se1'
_cell_length_a 3.2719
_cell_length_b 3.2719
_cell_length_c 7.4642
_cell_angle_alpha 90.00
_cell_angle_beta 90.00
_cell_angle_gamma 90.00
_space_group_name_H-M_alt 'P 1'
_space_group_IT_number 1
loop_
_space_group_symop_operation_xyz
'x,y,z'
loop_
_atom_site_label
_atom_site_fract_x
_atom_site_fract_y
_atom_site_fract_z
_atom_site_occupancy
Mo1 0.5000 0.5000 0.7039 1
Sc1 0.0000 0.0000 0.9584 1
Sc2 0.5000 0.5000 0.2911 1
Se1 0.0000 0.0000 0.5466 1

---

# 9
# Sc2MoSe (PBE, relaxed)
# uncorrected formation energy = -369 meV per atom
# SG = Cm (8)
# density of states at the Fermi level = 1.757 states/eV/cell
data_Sc2MoSe
_chemical_formula_sum 'Sc2 Mo1 Se1'
_cell_length_a 5.5832
_cell_length_b 5.5832
_cell_length_c 4.5834
_cell_angle_alpha 75.09
_cell_angle_beta 75.09
_cell_angle_gamma 34.15
_space_group_name_H-M_alt 'P 1'
_space_group_IT_number 1
loop_
_space_group_symop_operation_xyz
'x,y,z'
loop_
_atom_site_label
_atom_site_fract_x
_atom_site_fract_y
_atom_site_fract_z
_atom_site_occupancy
Mo1 0.2241 0.2241 0.2325 1
Sc1 0.9822 0.9822 0.0454 1
Sc2 0.7595 0.7595 0.7117 1
Se1 0.5342 0.5342 0.5104 1

---

# 10
# Sc2MoSe (PBE, relaxed)
# uncorrected formation energy = -29 meV per atom
# SG = R-3m (166)
# density of states at the Fermi level = 2.380 states/eV/cell
data_Sc2MoSe
_chemical_formula_sum 'Sc2 Mo1 Se1'
_cell_length_a 8.9666
_cell_length_b 8.9666
_cell_length_c 8.9666
_cell_angle_alpha 21.31
_cell_angle_beta 21.31
_cell_angle_gamma 21.31
_space_group_name_H-M_alt 'P 1'
_space_group_IT_number 1
loop_
_space_group_symop_operation_xyz
'x,y,z'
loop_
_atom_site_label
_atom_site_fract_x
_atom_site_fract_y
_atom_site_fract_z
_atom_site_occupancy
Sc1 0.9032 0.9032 0.9032 1
Sc2 0.0968 0.0968 0.0968 1
Mo1 0.0000 0.0000 0.0000 1
Se1 0.5000 0.5000 0.5000 1

---

# 11
# Sc2MoSe (PBE, relaxed)
# uncorrected formation energy = -140 meV per atom
# SG = R3m (160)
# density of states at the Fermi level = 3.657 states/eV/cell
data_Sc2MoSe
_chemical_formula_sum 'Sc2 Mo1 Se1'
_cell_length_a 8.9638
_cell_length_b 8.9638
_cell_length_c 8.9638
_cell_angle_alpha 21.14
_cell_angle_beta 21.14
_cell_angle_gamma 21.14
_space_group_name_H-M_alt 'P 1'
_space_group_IT_number 1
loop_
_space_group_symop_operation_xyz
'x,y,z'
loop_
_atom_site_label
_atom_site_fract_x
_atom_site_fract_y
_atom_site_fract_z
_atom_site_occupancy
Mo1 0.7614 0.7614 0.7614 1
Sc1 0.0072 0.0072 0.0072 1
Sc2 0.2394 0.2394 0.2394 1
Se1 0.4919 0.4919 0.4919 1

---

# 12
# Sc3MoSe (PBE, relaxed)
# uncorrected formation energy = 159 meV per atom
# SG = Pm-3m (221)
# density of states at the Fermi level = 15.453 states/eV/cell
data_Sc3MoSe
_chemical_formula_sum 'Sc3 Mo1 Se1'
_cell_length_a 4.8994
_cell_length_b 4.8994
_cell_length_c 4.8994
_cell_angle_alpha 90.00
_cell_angle_beta 90.00
_cell_angle_gamma 90.00
_space_group_name_H-M_alt 'P 1'
_space_group_IT_number 1
loop_
_space_group_symop_operation_xyz
'x,y,z'
loop_
_atom_site_label
_atom_site_fract_x
_atom_site_fract_y
_atom_site_fract_z
_atom_site_occupancy
Sc1 0.0000 0.5000 0.0000 1
Sc2 0.0000 0.0000 0.5000 1
Sc3 0.5000 0.0000 0.0000 1
Mo1 0.5000 0.5000 0.5000 1
Se1 0.0000 0.0000 0.0000 1